A plane-wave DFT calculation with GGA-PBE was carried out for crystalline Na2UAg2O6 at its relaxed geometry.

abc: 6.3752 9.4540 6.2896
angles: 90.00 117.57 90.00
Space group C2/m (No. 12)
One atom of each set of equivalent atoms:
Na (0.0000, 0.1841, 0.0000)
U (0.0000, 0.0000, 0.5000)
Ag (0.0000, 0.3366, 0.5000)
O (0.1918, 0.1577, 0.7361)
O (0.2273, 0.0000, 0.3181)

Raw formation energy   -1.61 eV per atom
ρ   5.89 Mg/m³
Volume   336 Å³/cell